This record from Alexandria via LeMat-Bulk describes an optimized crystal structure of ScCdNi2. The functional is PBE-GGA.

It has space group P4/mmm (No. 123), with a = 3.1810 Å, b = 3.1810 Å, c = 6.1690 Å, α = 90.00°, β = 90.00° and γ = 90.00°. The inequivalent atoms are Sc at (0.0000, 0.0000, 0.0000), Cd at (0.0000, 0.0000, 0.5000) and Ni at (0.5000, 0.5000, 0.2394).

The calculation puts the total magnetic moment at 0.0 μB per formula unit. The formation energy is -104 kJ/mol of formula units. Its electronic total energy is -19.89 eV for the cell shown.

***

This record from Alexandria via LeMat-Bulk describes an optimized crystal structure of ScCd2Ni. The functional is PBE-GGA.

It has space group I4/mmm (No. 139), with a = 4.2558 Å, b = 4.2558 Å, c = 8.1182 Å, α = 90.00°, β = 90.00° and γ = 90.00°. The inequivalent atoms are Sc at (0.0000, 0.0000, 0.0000), Cd at (0.0000, 0.5000, 0.2500) and Ni at (0.0000, 0.0000, 0.5000).

The calculation puts the total magnetic moment at 0.0 μB per formula unit. The formation energy is -50 kJ/mol of formula units. Its electronic total energy is -28.91 eV for the cell shown.

***

This record from Alexandria via LeMat-Bulk describes an optimized crystal structure of Sc4CdNi2. The functional is PBE-GGA.

It has space group R-3m (No. 166, hexagonal axes), with a = 4.3096 Å, b = 4.3096 Å, c = 27.5607 Å, α = 90.00°, β = 90.00° and γ = 120.00°. The inequivalent atoms are Sc at (0.0000, 0.0000, 0.1043), Sc at (0.0000, 0.0000, 0.3008), Cd at (0.0000, 0.0000, 0.5000) and Ni at (0.0000, 0.0000, 0.4004).

The calculation puts the total magnetic moment at 0.0 μB per formula unit. The formation energy is -111 kJ/mol of formula units. Its electronic total energy is -116.88 eV for the cell shown.

***

This record from Alexandria via LeMat-Bulk describes an optimized crystal structure of ScCdNi4. The functional is PBE-GGA.

It has space group F-43m (No. 216), with a = 6.8921 Å, b = 6.8921 Å, c = 6.8921 Å, α = 90.00°, β = 90.00° and γ = 90.00°. The inequivalent atoms are Sc at (0.0000, 0.0000, 0.0000), Cd at (0.2500, 0.2500, 0.2500) and Ni at (0.1247, 0.1247, 0.6247).

The calculation puts the total magnetic moment at 0.0 μB per formula unit. The formation energy is -213 kJ/mol of formula units. Its electronic total energy is -130.30 eV for the cell shown.

***

This record from Alexandria via LeMat-Bulk describes an optimized crystal structure of ScCd4Ni. The functional is PBE-GGA.

It has space group F-43m (No. 216), with a = 7.9180 Å, b = 7.9180 Å, c = 7.9180 Å, α = 90.00°, β = 90.00° and γ = 90.00°. The inequivalent atoms are Sc at (0.0000, 0.0000, 0.0000), Cd at (0.1247, 0.1247, 0.6247) and Ni at (0.2500, 0.2500, 0.2500).

The calculation puts the total magnetic moment at 0.0 μB per formula unit. The formation energy is 86 kJ/mol of formula units. The calculation puts the relative energy among the computed polymorphs at 0.178 eV/atom. Its electronic total energy is -59.53 eV for the cell shown.

***

This record from Alexandria via LeMat-Bulk describes an optimized crystal structure of ScCdNi2. The functional is PBE-GGA.

It has space group Amm2 (No. 38), with a = 3.8687 Å, b = 3.5109 Å, c = 9.5984 Å, α = 90.00°, β = 90.00° and γ = 90.00°. The inequivalent atoms are Sc at (0.0000, 0.0000, 0.0000), Cd at (0.5000, 0.0000, 0.7035), Ni at (0.0000, 0.0000, 0.2833) and Ni at (0.5000, 0.0000, 0.4269).

The calculation puts the total magnetic moment at 0.0 μB per formula unit. The formation energy is -98 kJ/mol of formula units. Its electronic total energy is -39.65 eV for the cell shown.

***

This record from Alexandria via LeMat-Bulk describes an optimized crystal structure of ScCd2Ni. The functional is PBE-GGA.

It has space group P4/mmm (No. 123), with a = 3.2496 Å, b = 3.2496 Å, c = 7.0541 Å, α = 90.00°, β = 90.00° and γ = 90.00°. The inequivalent atoms are Sc at (0.0000, 0.0000, 0.0000), Cd at (0.5000, 0.5000, 0.2893) and Ni at (0.0000, 0.0000, 0.5000).

The calculation puts the total magnetic moment at 0.3 μB per formula unit. The formation energy is -36 kJ/mol of formula units. Its electronic total energy is -14.32 eV for the cell shown.

***

This record from Alexandria via LeMat-Bulk describes an optimized crystal structure of Sc12CdNi6. The functional is PBE-GGA.

It has space group Im-3 (No. 204), with a = 9.0465 Å, b = 9.0465 Å, c = 9.0465 Å, α = 90.00°, β = 90.00° and γ = 90.00°. The inequivalent atoms are Sc at (0.0000, 0.2968, 0.1874), Cd at (0.0000, 0.0000, 0.0000) and Ni at (0.0000, 0.1307, 0.5000).

The calculation puts the total magnetic moment at 0.0 μB per formula unit. The formation energy is -637 kJ/mol of formula units. Its electronic total energy is -236.37 eV for the cell shown.

***

This record from Alexandria via LeMat-Bulk describes an optimized crystal structure of Sc4Cd5Ni2. The functional is PBE-GGA.

It has space group P2/m (No. 10), with a = 7.4302 Å, b = 3.3195 Å, c = 9.1539 Å, α = 90.00°, β = 94.15° and γ = 90.00°. The inequivalent atoms are Sc at (0.1731, 0.0000, 0.3370), Sc at (0.2054, 0.0000, 0.9419), Cd at (0.1704, 0.5000, 0.6421), Cd at (0.4543, 0.5000, 0.1662), Cd at (0.5000, 0.5000, 0.5000) and Ni at (0.0696, 0.5000, 0.1327).

The calculation puts the total magnetic moment at 0.0 μB per formula unit. The formation energy is -374 kJ/mol of formula units. Its electronic total energy is -45.34 eV for the cell shown.

***

This record from Alexandria via LeMat-Bulk describes an optimized crystal structure of Sc3Cd2Ni. The functional is PBE-GGA.

It has space group Cmmm (No. 65), with a = 4.7499 Å, b = 14.2757 Å, c = 7.1219 Å, α = 90.00°, β = 90.00° and γ = 90.00°. The inequivalent atoms are Sc at (0.0000, 0.0000, 0.2322), Sc at (0.0000, 0.3245, 0.2162), Cd at (0.0000, 0.1660, 0.5000), Cd at (0.0000, 0.5000, 0.0000), Cd at (0.0000, 0.5000, 0.5000) and Ni at (0.0000, 0.1527, 0.0000).

The calculation puts the total magnetic moment at 0.0 μB per formula unit. The formation energy is -193 kJ/mol of formula units. Its electronic total energy is -114.43 eV for the cell shown.

***

This record from Alexandria via LeMat-Bulk describes an optimized crystal structure of ScCd2Ni. The functional is PBE-GGA.

It has space group P4/mmm (No. 123), with a = 4.0424 Å, b = 4.0424 Å, c = 4.6074 Å, α = 90.00°, β = 90.00° and γ = 90.00°. The inequivalent atoms are Sc at (0.0000, 0.0000, 0.0000), Cd at (0.0000, 0.5000, 0.5000) and Ni at (0.5000, 0.5000, 0.0000).

The calculation puts the total magnetic moment at 0.0 μB per formula unit. The formation energy is -42 kJ/mol of formula units. Its electronic total energy is -14.38 eV for the cell shown.

***

This record from Alexandria via LeMat-Bulk describes an optimized crystal structure of ScCdNi2. The functional is PBE-GGA.

It has space group R-3m (No. 166, hexagonal axes), with a = 3.0327 Å, b = 3.0327 Å, c = 24.5806 Å, α = 90.00°, β = 90.00° and γ = 120.00°. The inequivalent atoms are Sc at (0.0000, 0.0000, 0.0000), Cd at (0.0000, 0.0000, 0.5000) and Ni at (0.0000, 0.0000, 0.2538).

The calculation puts the total magnetic moment at 0.0 μB per formula unit. The formation energy is 4 kJ/mol of formula units. Its electronic total energy is -56.30 eV for the cell shown.